# PBE Rb3In2I7, relaxed
data_Rb3In2I7
_symmetry_space_group_name_H-M 'I 4/m m m'
_symmetry_Int_Tables_number 139
_symmetry_space_group_name_Hall '-I 4 2'
_cell_length_a 6.1075
_cell_length_b 6.1075
_cell_length_c 30.9207
_cell_angle_alpha 90.00
_cell_angle_beta 90.00
_cell_angle_gamma 90.00
loop_
_atom_site_label
_atom_site_fract_x
_atom_site_fract_y
_atom_site_fract_z
_atom_site_occupancy
Rb1 0.0000 0.0000 0.0000 1
Rb2 0.0000 0.0000 0.1794 1
In1 0.0000 0.0000 0.3972 1
I1 0.0000 0.0000 0.2982 1
I2 0.0000 0.0000 0.5000 1
I3 0.0000 0.5000 0.0987 1
# uncorrected formation energy	-0.9645	eV per atom